i | This record from Alexandria describes an optimized crystal structure of LiTb3Tl. The functional is PBE.

Properties
Its calculated volume is 28.69 A^3/atom. The space-group type is Cmcm (63).

Structure (POSCAR):
```
LiTb3Tl
1.0
-1.414 -6.110 2.337
5.853 -3.616 -5.913
8.647 -0.229 4.634
Li Tb Tl
4 12 4
Cartesian
9.785 -5.222 -2.940 Li
3.301 -4.733 3.999 Li
7.625 -4.847 6.316 Li
5.461 -5.108 -5.257 Li
5.859 -9.047 -0.991 Tb
7.227 -0.907 2.050 Tb
2.204 -3.817 0.889 Tb
10.883 -6.138 0.170 Tb
6.559 -6.023 -2.147 Tb
6.527 -3.931 3.205 Tb
2.903 -0.793 -0.268 Tb
10.183 -9.162 1.327 Tb
8.240 -3.731 0.023 Tb
4.846 -6.224 1.036 Tb
9.170 -6.338 3.353 Tb
3.916 -3.617 -2.294 Tb
3.497 -6.949 -1.676 Tl
9.590 -3.006 2.735 Tl
5.266 -2.892 0.418 Tl
7.820 -7.063 0.641 Tl
```

ii | This record from Alexandria describes an optimized crystal structure of LiTb3Tl. The functional is PBE.

Properties
Its calculated volume is 27.83 A^3/atom. The space-group type is Cmcm (63).

Structure (POSCAR):
```
LiTb3Tl
1.0
4.978 0.000 1.138
0.000 5.119 0.000
0.117 0.000 10.947
Li Tb Tl
2 6 2
Cartesian
2.458 3.839 8.136 Li
0.887 1.280 3.548 Li
3.811 1.280 2.215 Tb
1.997 1.280 10.155 Tb
2.910 1.280 6.157 Tb
1.349 3.839 1.530 Tb
4.512 3.839 10.608 Tb
0.435 3.839 5.528 Tb
3.355 3.839 4.212 Tl
4.969 1.280 8.611 Tl
```

Ordering by calculated energy gives the sequence ii, i, with the first entry being the most stable.